1.
Entry from the Alexandria database: PrMgGePd after structural relaxation (PBE).

Cell lengths 4.9455, 4.9455, 4.9455 Å; angles 60.00, 60.00, 60.00 degrees
With the nearest neighbours (Å) after each atom.
Element x y z (fractional)
Pr (0.0000, 0.0000, 0.0000)  4 Ge 3.03, 4 Pd 3.03
Mg (0.5000, 0.5000, 0.5000)  4 Pd 3.03, 4 Ge 3.03
Ge (0.2500, 0.2500, 0.2500)  4 Mg 3.03, 4 Pr 3.03
Pd (0.7500, 0.7500, 0.7500)  4 Mg 3.03, 4 Pr 3.03

Output
Fermi-level density of states in states/eV/atom: 0.405
SG: F-43m
ΔH_f (0 K) in meV/atom: -599.5
Total energy in eV/atom: -4.65
Crystal system: cubic

=====

2.
Entry from the Alexandria database: KMn2Ir after structural relaxation (PBE).

Cell lengths 4.6098, 4.6098, 7.2924 Å; angles 95.22, 95.22, 36.08 degrees
With the nearest neighbours (Å) after each atom.
Element x y z (fractional)
K (0.0000, 0.0000, 0.0000)  2 K 2.86
Mn (0.2227, 0.2227, 0.6308)  2 Ir 2.54, 3 Mn 2.72-2.81
Mn (0.4910, 0.4910, 0.4491)  3 Ir 2.51-2.54, 3 Mn 2.72-2.81
Ir (0.7580, 0.7580, 0.3502)  5 Mn 2.51-2.54

Output
Fermi-level density of states in states/eV/atom: 1.193
SG: Cm
ΔH_f (0 K) in meV/atom: 611.0
Total energy in eV/atom: -6.46
Distance to the lowest polymorph of the same formula in meV per atom: 118
Crystal system: monoclinic

=====

3.
Entry from the Alexandria database: YNiBi3 after structural relaxation (PBE).

Cell lengths 5.8278, 5.8278, 5.8278 Å; angles 90.00, 90.00, 90.00 degrees
With the nearest neighbours (Å) after each atom.
Element x y z (fractional)
Y (0.0000, 0.0000, 0.0000)  6 Bi 2.91
Ni (0.5000, 0.5000, 0.5000)  12 Bi 4.12
Bi (0.0000, 0.0000, 0.5000)  2 Y 2.91
Bi (0.0000, 0.5000, 0.0000)  2 Y 2.91
Bi (0.5000, 0.0000, 0.0000)  2 Y 2.91

Output
Fermi-level density of states in states/eV/atom: 0.945
SG: Pm-3m
ΔH_f (0 K) in meV/atom: 934.1
Total energy in eV/atom: -3.84
Distance to the lowest polymorph of the same formula in meV per atom: 932
Crystal system: cubic

=====

4.
Entry from the Alexandria database: Li4Hf3S8 after structural relaxation (PBE).

Cell lengths 7.7504, 7.7504, 7.7504 Å; angles 56.70, 56.70, 56.70 degrees
With the nearest neighbours (Å) after each atom.
Element x y z (fractional)
Li (0.0000, 0.0000, 0.0000)  2 Li 2.62, 6 S 2.63
Li (0.1348, 0.1348, 0.1348)  4 S 2.42-2.49, 1 Li 2.62
Li (0.5000, 0.5000, 0.5000)  6 S 2.73
Li (0.8652, 0.8652, 0.8652)  4 S 2.42-2.49, 1 Li 2.62
Hf (0.0000, 0.5000, 0.5000)  6 S 2.54-2.57
Hf (0.5000, 0.0000, 0.5000)  6 S 2.54-2.57
Hf (0.5000, 0.5000, 0.0000)  6 S 2.54-2.57
S (0.2467, 0.2467, 0.7303)  3 Li 2.49-2.73, 2 Hf 2.54
S (0.2467, 0.7303, 0.2467)  3 Li 2.49-2.73, 2 Hf 2.54
S (0.2591, 0.2591, 0.2591)  1 Li 2.42, 3 Hf 2.57
S (0.2697, 0.7533, 0.7533)  3 Li 2.49-2.73, 2 Hf 2.54
S (0.7303, 0.2467, 0.2467)  3 Li 2.49-2.73, 2 Hf 2.54
S (0.7409, 0.7409, 0.7409)  1 Li 2.42, 3 Hf 2.57
S (0.7533, 0.2697, 0.7533)  3 Li 2.49-2.73, 2 Hf 2.54
S (0.7533, 0.7533, 0.2697)  3 Li 2.49-2.73, 2 Hf 2.54

Output
SG: R-3m
Total energy in eV/atom: -6.21
Energy relative to the elements, uncorrected in meV per atom: -1505
Distance to the lowest polymorph of the same formula in meV per atom: 0
Crystal system: trigonal

=====

5.
Entry from the Alexandria database: Pm7YEr4 after structural relaxation (PBE).

Cell lengths 6.2911, 7.2587, 8.9405 Å; angles 90.02, 103.65, 90.05 degrees
With the nearest neighbours (Å) after each atom.
Element x y z (fractional)
Pm (0.0000, 0.0000, 0.0000)  4 Er 3.56-3.58, 6 Pm 3.59-3.63, 2 Y 3.63
Pm (0.2222, 0.4999, 0.6652)  6 Pm 3.56-3.65, 5 Er 3.57-3.65, 1 Y 3.59
Pm (0.2805, 0.7513, 0.3359)  6 Er 3.55-3.66, 5 Pm 3.56-3.65, 1 Y 3.60
Pm (0.4994, 0.2464, 0.0015)  3 Er 3.57-3.58, 7 Pm 3.58-3.68, 2 Y 3.64-3.65
Pm (0.5006, 0.7536, 0.9985)  3 Er 3.57-3.58, 7 Pm 3.58-3.68, 2 Y 3.64-3.65
Pm (0.7195, 0.2487, 0.6641)  6 Er 3.55-3.66, 5 Pm 3.56-3.65, 1 Y 3.60
Pm (0.7778, 0.5001, 0.3348)  6 Pm 3.56-3.65, 5 Er 3.57-3.65, 1 Y 3.59
Y (0.0000, 0.5000, 0.0000)  2 Er 3.59, 10 Pm 3.59-3.65
Er (0.2195, 0.9999, 0.6650)  4 Er 3.53-3.63, 8 Pm 3.55-3.63
Er (0.2778, 0.2472, 0.3335)  8 Pm 3.55-3.66, 3 Er 3.56-3.63, 1 Y 3.59
Er (0.7222, 0.7528, 0.6665)  8 Pm 3.55-3.66, 3 Er 3.56-3.63, 1 Y 3.59
Er (0.7805, 0.0001, 0.3350)  4 Er 3.53-3.63, 8 Pm 3.55-3.63

Output
Fermi-level density of states in states/eV/atom: 1.356
SG: P-1
ΔH_f (0 K) in meV/atom: 3.9
Total energy in eV/atom: -4.83
Distance to the lowest polymorph of the same formula in meV per atom: 0
Crystal system: triclinic

=====

6.
Entry from the Alexandria database: PIrCl2 after structural relaxation (PBE).

Cell lengths 4.7147, 4.7147, 2.9854 Å; angles 90.00, 90.00, 90.00 degrees
With the nearest neighbours (Å) after each atom.
Element x y z (fractional)
P (0.0000, 0.0000, 0.0000)  8 Cl 2.79, 2 P 2.99
Ir (0.5000, 0.5000, 0.0000)  8 Cl 2.79, 2 Ir 2.99
Cl (0.0000, 0.5000, 0.5000)  4 Ir 2.79, 4 P 2.79, 2 Cl 2.99
Cl (0.5000, 0.0000, 0.5000)  4 Ir 2.79, 4 P 2.79, 2 Cl 2.99

Output
Fermi-level density of states in states/eV/atom: 1.335
SG: P4/mmm
Total energy in eV/atom: -3.26
Energy relative to the elements, uncorrected in meV per atom: 1235
Distance to the lowest polymorph of the same formula in meV per atom: 1897
Crystal system: tetragonal

=====

7.
Entry from the Alexandria database: Ac2La4Pb3O2 after structural relaxation (PBE).

Cell lengths 14.1230, 14.1230, 14.1230 Å; angles 159.65, 159.65, 28.93 degrees
With the nearest neighbours (Å) after each atom.
Element x y z (fractional)
Ac (0.1947, 0.1947, 0.0000)  1 O 2.59
Ac (0.8053, 0.8053, 0.0000)  1 O 2.59
La (0.0815, 0.5815, 0.5000)  2 O 2.55
La (0.4185, 0.9185, 0.5000)  2 O 2.55
La (0.5815, 0.0815, 0.5000)  2 O 2.55
La (0.9185, 0.4185, 0.5000)  2 O 2.55
Pb (0.3253, 0.3253, 0.0000)  4 La 3.57, 5 Ac 3.57
Pb (0.5000, 0.5000, 0.0000)  8 La 3.34
Pb (0.6747, 0.6747, 0.0000)  4 La 3.57, 5 Ac 3.57
O (0.1000, 0.1000, 0.0000)  4 La 2.55, 1 Ac 2.59
O (0.9000, 0.9000, 0.0000)  4 La 2.55, 1 Ac 2.59

Output
Fermi-level density of states in states/eV/atom: 0.556
SG: I4/mmm
Total energy in eV/atom: -5.87
Energy relative to the elements, uncorrected in meV per atom: -1418
Crystal system: tetragonal

=====

8.
Entry from the Alexandria database: NaAl4Au12 after structural relaxation (PBE).

Cell lengths 7.7341, 7.7341, 7.7341 Å; angles 109.47, 109.47, 109.47 degrees
With the nearest neighbours (Å) after each atom.
Element x y z (fractional)
Na (0.0000, 0.0000, 0.0000)  12 Au 3.38
Al (0.0000, 0.0000, 0.5000)  6 Au 2.52
Al (0.0000, 0.5000, 0.0000)  6 Au 2.52
Al (0.5000, 0.0000, 0.0000)  6 Au 2.52
Al (0.5000, 0.5000, 0.5000)  6 Au 2.52
Au (0.1575, 0.5017, 0.3441)  2 Al 2.52, 2 Au 2.78-2.81
Au (0.1575, 0.8134, 0.6559)  2 Al 2.52, 2 Au 2.78-2.81
Au (0.1866, 0.3441, 0.8425)  2 Al 2.52, 2 Au 2.78-2.81
Au (0.3441, 0.1575, 0.5017)  2 Al 2.52, 2 Au 2.78-2.81
Au (0.3441, 0.8425, 0.1866)  2 Al 2.52, 2 Au 2.78-2.81
Au (0.4983, 0.6559, 0.8425)  2 Al 2.52, 2 Au 2.78-2.81
Au (0.5017, 0.3441, 0.1575)  2 Al 2.52, 2 Au 2.78-2.81
Au (0.6559, 0.1575, 0.8134)  2 Al 2.52, 2 Au 2.78-2.81
Au (0.6559, 0.8425, 0.4983)  2 Al 2.52, 2 Au 2.78-2.81
Au (0.8134, 0.6559, 0.1575)  2 Al 2.52, 2 Au 2.78-2.81
Au (0.8425, 0.1866, 0.3441)  2 Al 2.52, 2 Au 2.78-2.81
Au (0.8425, 0.4983, 0.6559)  2 Al 2.52, 2 Au 2.78-2.81

Output
Fermi-level density of states in states/eV/atom: 0.362
SG: Im-3
ΔH_f (0 K) in meV/atom: -77.8
Total energy in eV/atom: -3.35
Crystal system: cubic

=====

9.
Entry from the Alexandria database: PrDy2S4 after structural relaxation (PBE).

Cell lengths 11.8970, 3.8993, 14.2532 Å; angles 90.00, 90.00, 90.00 degrees
With the nearest neighbours (Å) after each atom.
Element x y z (fractional)
Pr (0.2452, 0.2500, 0.1668)  7 S 2.95-3.12
Pr (0.2548, 0.7500, 0.6668)  7 S 2.95-3.12
Pr (0.7452, 0.2500, 0.3332)  7 S 2.95-3.12
Pr (0.7548, 0.7500, 0.8332)  7 S 2.95-3.12
Dy (0.0661, 0.2500, 0.3893)  6 S 2.72-2.76
Dy (0.0892, 0.2500, 0.9040)  6 S 2.69-2.77
Dy (0.4108, 0.7500, 0.4040)  6 S 2.69-2.77
Dy (0.4339, 0.7500, 0.8893)  6 S 2.72-2.76
Dy (0.5661, 0.2500, 0.1107)  6 S 2.72-2.76
Dy (0.5892, 0.2500, 0.5960)  6 S 2.69-2.77
Dy (0.9108, 0.7500, 0.0960)  6 S 2.69-2.77
Dy (0.9339, 0.7500, 0.6107)  6 S 2.72-2.76
S (0.0322, 0.7500, 0.7829)  3 Dy 2.69-2.72
S (0.0938, 0.2500, 0.5790)  3 Dy 2.72-2.76, 2 Pr 3.01
S (0.1322, 0.7500, 0.0358)  3 Dy 2.76-2.77, 2 Pr 3.02
S (0.2035, 0.7500, 0.3178)  3 Dy 2.74-2.76, 2 Pr 2.95
S (0.2965, 0.2500, 0.8178)  3 Dy 2.74-2.76, 2 Pr 2.95
S (0.3678, 0.2500, 0.5358)  3 Dy 2.76-2.77, 2 Pr 3.02
S (0.4062, 0.7500, 0.0790)  3 Dy 2.72-2.76, 2 Pr 3.01
S (0.4678, 0.2500, 0.2829)  3 Dy 2.69-2.72
S (0.5322, 0.7500, 0.7171)  3 Dy 2.69-2.72
S (0.5938, 0.2500, 0.9210)  3 Dy 2.72-2.76, 2 Pr 3.01
S (0.6322, 0.7500, 0.4642)  3 Dy 2.76-2.77, 2 Pr 3.02
S (0.7035, 0.7500, 0.1822)  3 Dy 2.74-2.76, 2 Pr 2.95
S (0.7965, 0.2500, 0.6822)  3 Dy 2.74-2.76, 2 Pr 2.95
S (0.8678, 0.2500, 0.9642)  3 Dy 2.76-2.77, 2 Pr 3.02
S (0.9062, 0.7500, 0.4210)  3 Dy 2.72-2.76, 2 Pr 3.01
S (0.9678, 0.2500, 0.2171)  3 Dy 2.69-2.72

Output
Fermi-level density of states in states/eV/atom: 0.310
SG: Pnma
Total energy in eV/atom: -6.41
Energy relative to the elements, uncorrected in meV per atom: -2056
Distance to the lowest polymorph of the same formula in meV per atom: 16
Crystal system: orthorhombic

=====

10.
Entry from the Alexandria database: SnPb3F after structural relaxation (PBE).

Cell lengths 5.1991, 5.1991, 5.1991 Å; angles 90.00, 90.00, 90.00 degrees
With the nearest neighbours (Å) after each atom.
Element x y z (fractional)
Sn (0.0000, 0.0000, 0.0000)  12 Pb 3.68
Pb (0.0000, 0.5000, 0.5000)  2 F 2.60
Pb (0.5000, 0.0000, 0.5000)  2 F 2.60
Pb (0.5000, 0.5000, 0.0000)  2 F 2.60
F (0.5000, 0.5000, 0.5000)  6 Pb 2.60

Output
Fermi-level density of states in states/eV/atom: 0.777
SG: Pm-3m
Total energy in eV/atom: -3.85
Energy relative to the elements, uncorrected in meV per atom: -449
Distance to the lowest polymorph of the same formula in meV per atom: 0
Crystal system: cubic

=====

Question: total energy of number 10 (SnPb3F)?
Answer: -3.85 eV/atom